# MnBeOs3 | Alexandria | PBE | relaxed
# DOS(E_F): 0.939 states/eV/atom
# Polymorph energy (0 for the lowest one): 1.084 eV per atom
# Calculated formation energy: 1.898 eV per atom
# Calculated volume: 84.5 Å³/cell
data_MnBeOs3
_chemical_formula_sum 'Mn1 Be1 Os3'
_symmetry_space_group_name_H-M 'P m -3 m'
_symmetry_Int_Tables_number 221
_symmetry_space_group_name_Hall '-P 4 2 3'
_cell_length_a 4.388
_cell_length_b 4.388
_cell_length_c 4.388
_cell_angle_alpha 90.00
_cell_angle_beta 90.00
_cell_angle_gamma 90.00
loop_
_atom_site_label
_atom_site_fract_x
_atom_site_fract_y
_atom_site_fract_z
Mn1 0.000 0.000 0.000
Be1 0.500 0.500 0.500
Os1 0.000 0.000 0.500